The following is a DFT calculation (PBE) of KAlCuF6 after structural relaxation.

Calculated values
Formation energy from raw total energies = -24.738 eV per formula unit
Energy above the lowest structure with this stoichiometry = 0.0 meV per atom
VASP energy = -4.99 eV/atom
Symmetry = No. 62

POSCAR file:
```
KAlCuF6
1.0
-1.456 -2.360 -6.153
1.493 -6.629 2.189
-9.480 -1.238 2.718
Cu K F Al
4 4 24 4
direct
0.187 0.750 0.263 Cu
0.687 0.750 0.237 Cu
0.313 0.250 0.763 Cu
0.813 0.250 0.737 Cu
0.013 0.750 0.619 K
0.487 0.250 0.119 K
0.987 0.250 0.381 K
0.513 0.750 0.881 K
0.428 0.750 0.163 F
0.262 0.556 0.425 F
0.238 0.056 0.925 F
0.385 0.507 0.666 F
0.615 0.493 0.334 F
0.436 0.250 0.484 F
0.885 0.993 0.834 F
0.572 0.250 0.837 F
0.936 0.250 0.016 F
0.615 0.007 0.334 F
0.738 0.056 0.575 F
0.385 0.993 0.666 F
0.115 0.493 0.166 F
0.115 0.007 0.166 F
0.564 0.750 0.516 F
0.064 0.750 0.984 F
0.238 0.444 0.925 F
0.885 0.507 0.834 F
0.928 0.750 0.337 F
0.762 0.556 0.075 F
0.072 0.250 0.663 F
0.762 0.944 0.075 F
0.738 0.444 0.575 F
0.262 0.944 0.425 F
0.000 0.000 0.000 Al
0.500 0.500 0.500 Al
0.500 0.000 0.500 Al
0.000 0.500 0.000 Al
```

=====

The following is a DFT calculation (PBE) of K2AlCuF6 after structural relaxation.

Calculated values
Formation energy from raw total energies = -27.648 eV per formula unit
Energy above the lowest structure with this stoichiometry = 11.7 meV per atom
VASP energy = -4.89 eV/atom
Symmetry = No. 225

POSCAR file:
```
K2AlCuF6
1.0
-0.021 3.894 4.302
2.653 -1.205 5.018
4.895 2.768 1.432
K F Cu Al
2 6 1 1
direct
0.250 0.250 0.250 K
0.750 0.750 0.750 K
0.224 0.224 0.776 F
0.224 0.776 0.224 F
0.776 0.776 0.224 F
0.224 0.776 0.776 F
0.776 0.224 0.224 F
0.776 0.224 0.776 F
0.500 0.500 0.500 Cu
0.000 0.000 0.000 Al
```

=====

The following is a DFT calculation (PBE) of K2Al3CuF12 after structural relaxation.

Calculated values
Formation energy from raw total energies = -56.062 eV per formula unit
VASP energy = -5.34 eV/atom
Symmetry = No. 166

POSCAR file:
```
K2Al3CuF12
1.0
-2.728 -6.389 1.260
4.280 -5.572 0.697
0.858 -3.000 6.333
F K Al Cu
12 2 3 1
direct
0.897 0.396 0.897 F
0.103 0.103 0.604 F
0.103 0.604 0.103 F
0.915 0.294 0.294 F
0.706 0.085 0.706 F
0.294 0.915 0.294 F
0.396 0.897 0.897 F
0.706 0.706 0.085 F
0.085 0.706 0.706 F
0.604 0.103 0.103 F
0.897 0.897 0.396 F
0.294 0.294 0.915 F
0.629 0.629 0.629 K
0.371 0.371 0.371 K
0.000 0.500 0.000 Al
0.000 0.000 0.500 Al
0.500 0.000 0.000 Al
0.000 0.000 0.000 Cu
```